(1)
! PtPb4W, optimized geometry, DFT GGA-PBE; values from VASP
! Calculated volume (Å³ per atom): 27.6
! Formation energy (eV per formula unit): 7.81
! Space group: F-43m, No. 216
! Total energy (eV for the cell shown): -26.02
&SYSTEM
  ibrav = 0, nat = 6, ntyp = 3
/
ATOMIC_SPECIES
Pt 195.08 Pt.upf
Pb 207.20 Pb.upf
W 183.84 W.upf
CELL_PARAMETERS angstrom
0.000 4.360 4.360
4.360 0.000 4.360
4.360 4.360 0.000
ATOMIC_POSITIONS angstrom
Pt 0.000 0.000 0.000
Pb 3.271 3.271 3.271
Pb 5.449 5.449 3.271
Pb 5.449 3.271 5.449
Pb 3.271 5.449 5.449
W 6.540 6.540 6.540

(2)
! FeCo2P, optimized geometry, DFT GGA-PBE; values from VASP
! Calculated volume (Å³ per atom): 12.1
! Formation energy (eV per formula unit): 0.60
! Space group: I-42d, No. 122
! Total energy (eV for the cell shown): -109.96
&SYSTEM
  ibrav = 0, nat = 16, ntyp = 3
/
ATOMIC_SPECIES
Fe 55.84 Fe.upf
Co 58.93 Co.upf
P 30.97 P.upf
CELL_PARAMETERS angstrom
3.496 0.000 0.000
0.000 3.496 0.000
0.000 0.000 15.841
ATOMIC_POSITIONS angstrom
Fe 0.000 0.000 0.000
Fe 0.000 1.748 3.960
Fe 1.748 0.000 11.881
Fe 1.748 1.748 7.921
Co 0.790 0.874 9.901
Co 0.874 2.538 13.861
Co 0.874 2.706 5.941
Co 0.958 0.874 1.980
Co 2.538 2.622 1.980
Co 2.622 0.790 5.941
Co 2.622 0.958 13.861
Co 2.706 2.622 9.901
P 0.000 0.000 7.921
P 0.000 1.748 11.881
P 1.748 0.000 3.960
P 1.748 1.748 0.000

(3)
! HoHf2B6, optimized geometry, DFT GGA-PBE; values from VASP
! Calculated volume (Å³ per atom): 10.6
! Formation energy (eV per formula unit): -7.86
! Space group: P6/mmm, No. 191
! Total energy (eV for the cell shown): -72.41
&SYSTEM
  ibrav = 0, nat = 9, ntyp = 3
/
ATOMIC_SPECIES
Ho 164.93 Ho.upf
Hf 178.49 Hf.upf
B 10.81 B.upf
CELL_PARAMETERS angstrom
5.527 0.000 0.000
-2.764 4.787 0.000
0.000 0.000 3.590
ATOMIC_POSITIONS angstrom
Ho 0.000 0.000 0.000
Hf 0.000 3.191 0.000
Hf 2.764 1.596 0.000
B -0.934 1.617 1.795
B -1.830 3.169 1.795
B 1.867 0.000 1.795
B 0.934 1.617 1.795
B 3.660 0.000 1.795
B 1.830 3.169 1.795

(4)
! Na4TeRh3O8, optimized geometry, DFT GGA-PBE; values from VASP
! Calculated volume (Å³ per atom): 12.2
! Space group: R-3m, No. 166
! Total energy (eV for the cell shown): -86.51
! Formation energy (no corrections) (eV per atom): -1.02
&SYSTEM
  ibrav = 0, nat = 16, ntyp = 4
/
ATOMIC_SPECIES
Na 22.99 Na.upf
Te 127.60 Te.upf
Rh 102.91 Rh.upf
O 16.00 O.upf
CELL_PARAMETERS angstrom
3.263 1.884 5.284
-3.263 1.884 5.284
0.000 -3.768 5.284
ATOMIC_POSITIONS angstrom
Na 0.000 0.000 0.000
Na -1.631 -0.942 5.284
Na -1.631 0.942 10.568
Na 0.000 1.884 5.284
Te 0.000 0.000 7.926
Rh -3.263 0.000 7.926
Rh -1.631 0.942 2.642
Rh 1.631 0.942 2.642
O -1.683 -0.972 9.014
O 0.000 0.000 3.619
O 0.000 -1.943 6.837
O -1.683 0.972 6.837
O 1.683 -0.972 9.014
O 0.000 1.943 9.014
O 0.000 0.000 12.233
O 1.683 0.972 6.837

(5)
! BaAlCd2, optimized geometry, DFT GGA-PBE; values from VASP
! Calculated volume (Å³ per atom): 35.3
! Formation energy (eV per formula unit): -0.16
! Space group: I-42d, No. 122
! Total energy (eV for the cell shown): -30.62
&SYSTEM
  ibrav = 0, nat = 16, ntyp = 3
/
ATOMIC_SPECIES
Ba 137.33 Ba.upf
Al 26.98 Al.upf
Cd 112.41 Cd.upf
CELL_PARAMETERS angstrom
5.536 0.000 0.000
0.000 5.536 0.000
0.000 0.000 18.420
ATOMIC_POSITIONS angstrom
Ba 0.000 0.000 0.000
Ba 0.000 2.768 4.605
Ba 2.768 0.000 13.815
Ba 2.768 2.768 9.210
Al 0.000 0.000 9.210
Al 0.000 2.768 13.815
Al 2.768 0.000 4.605
Al 2.768 2.768 0.000
Cd 0.020 1.384 11.512
Cd 1.384 2.788 16.117
Cd 1.384 5.516 6.907
Cd 2.748 1.384 2.302
Cd 2.788 4.152 2.302
Cd 4.152 0.020 6.907
Cd 4.152 2.748 16.117
Cd 5.516 4.152 11.512

(6)
! Pr4GaTeI2, optimized geometry, DFT GGA-PBE; values from VASP
! Calculated volume (Å³ per atom): 33.7
! Space group: P2/m, No. 10
! Total energy (eV for the cell shown): -36.45
! Formation energy (no corrections) (eV per atom): -1.01
&SYSTEM
  ibrav = 0, nat = 8, ntyp = 4
/
ATOMIC_SPECIES
Pr 140.91 Pr.upf
Ga 69.72 Ga.upf
Te 127.60 Te.upf
I 126.90 I.upf
CELL_PARAMETERS angstrom
7.870 0.000 0.000
0.000 4.481 0.000
-2.591 0.000 7.637
ATOMIC_POSITIONS angstrom
Pr 1.158 0.000 1.570
Pr -0.159 2.240 6.024
Pr 5.439 2.240 1.613
Pr 4.122 0.000 6.067
Ga 0.000 2.240 0.000
Te 3.935 0.000 0.000
I -1.295 0.000 3.818
I 2.640 2.240 3.818

(7)
! AcPm4Y6, optimized geometry, DFT GGA-PBE; values from VASP
! Calculated volume (Å³ per atom): 34.4
! Formation energy (eV per formula unit): 1.30
! Space group: Cmcm, No. 63
! Total energy (eV for the cell shown): -121.18
&SYSTEM
  ibrav = 0, nat = 22, ntyp = 3
/
ATOMIC_SPECIES
Ac 227.00 Ac.upf
Pm 145.00 Pm.upf
Y 88.91 Y.upf
CELL_PARAMETERS angstrom
2.944 -4.915 0.000
2.944 4.915 0.000
0.000 0.000 26.129
ATOMIC_POSITIONS angstrom
Ac 2.944 3.041 19.597
Ac 2.944 -3.041 6.532
Pm 2.944 3.370 1.124
Pm 2.944 3.370 11.940
Pm 2.944 0.312 3.209
Pm 2.944 0.312 9.856
Pm 2.944 -0.312 16.273
Pm 2.944 -0.312 22.920
Pm 2.944 -3.370 14.189
Pm 2.944 -3.370 25.005
Y 2.944 3.538 4.714
Y 2.944 3.538 8.351
Y 2.944 3.055 15.654
Y 2.944 3.055 23.539
Y 2.944 0.270 6.532
Y 2.944 0.000 0.000
Y 2.944 0.000 13.065
Y 2.944 -0.270 19.597
Y 2.944 -3.055 2.590
Y 2.944 -3.055 10.475
Y 2.944 -3.538 17.778
Y 2.944 -3.538 21.415

(8)
! HfGa3Ir4, optimized geometry, DFT GGA-PBE; values from VASP
! Calculated volume (Å³ per atom): 15.2
! Formation energy (eV per formula unit): -4.52
! Space group: Pmma, No. 51
! Total energy (eV for the cell shown): -118.00
&SYSTEM
  ibrav = 0, nat = 16, ntyp = 3
/
ATOMIC_SPECIES
Hf 178.49 Hf.upf
Ga 69.72 Ga.upf
Ir 192.22 Ir.upf
CELL_PARAMETERS angstrom
8.985 0.000 0.000
0.000 5.938 0.000
0.000 0.000 4.559
ATOMIC_POSITIONS angstrom
Hf 0.000 0.000 0.000
Hf 4.493 0.000 0.000
Ga 0.000 2.969 0.000
Ga 2.246 0.000 2.045
Ga 2.246 2.969 2.015
Ga 4.493 2.969 0.000
Ga 6.739 0.000 2.514
Ga 6.739 2.969 2.543
Ir 0.000 1.534 2.279
Ir 0.000 4.404 2.279
Ir 2.246 1.558 4.248
Ir 2.246 4.379 4.248
Ir 4.493 1.534 2.279
Ir 4.493 4.404 2.279
Ir 6.739 1.558 0.311
Ir 6.739 4.379 0.311

(9)
! LiPu5Ge4, optimized geometry, DFT GGA-PBE; values from VASP
! Calculated volume (Å³ per atom): 23.2
! Formation energy (eV per formula unit): -1.54
! Space group: C2/m, No. 12
! Total energy (eV for the cell shown): -93.59
&SYSTEM
  ibrav = 0, nat = 10, ntyp = 3
/
ATOMIC_SPECIES
Li 6.94 Li.upf
Pu 244.00 Pu.upf
Ge 72.64 Ge.upf
CELL_PARAMETERS angstrom
7.705 -1.922 0.000
7.705 1.922 0.000
-1.319 0.000 7.833
ATOMIC_POSITIONS angstrom
Li 0.000 0.000 0.000
Pu -0.660 0.000 3.916
Pu 4.380 0.000 3.252
Pu 4.097 0.000 6.636
Pu 9.994 0.000 1.197
Pu 9.711 0.000 4.580
Ge 1.086 0.000 6.717
Ge 7.039 0.000 1.670
Ge 7.052 0.000 6.162
Ge 13.005 0.000 1.115

(10)
! LaCrSi, optimized geometry, DFT GGA-PBE; values from VASP
! Calculated volume (Å³ per atom): 19.7
! Space group: I4mm, No. 107
! Total energy (eV for the cell shown): -39.99
! Formation energy (no corrections) (eV per atom): -0.01
&SYSTEM
  ibrav = 0, nat = 6, ntyp = 3
/
ATOMIC_SPECIES
La 138.91 La.upf
Cr 52.00 Cr.upf
Si 28.09 Si.upf
CELL_PARAMETERS angstrom
3.321 0.000 0.000
0.000 3.321 0.000
0.000 0.000 10.706
ATOMIC_POSITIONS angstrom
La 0.000 0.000 0.000
La 1.661 1.661 5.353
Cr 0.000 0.000 3.058
Cr 1.661 1.661 8.411
Si 0.000 0.000 7.633
Si 1.661 1.661 2.280

(11)
! PmTl5, optimized geometry, DFT GGA-PBE; values from VASP
! Calculated volume (Å³ per atom): 29.5
! Formation energy (eV per formula unit): -0.67
! Space group: Cmmm, No. 65
! Total energy (eV for the cell shown): -34.51
&SYSTEM
  ibrav = 0, nat = 12, ntyp = 2
/
ATOMIC_SPECIES
Pm 145.00 Pm.upf
Tl 204.38 Tl.upf
CELL_PARAMETERS angstrom
5.469 0.000 0.000
0.000 16.314 0.000
0.000 0.000 3.973
ATOMIC_POSITIONS angstrom
Pm 0.000 0.000 0.000
Pm 2.734 8.157 0.000
Tl 0.000 2.741 1.987
Tl 0.000 5.435 0.000
Tl 0.000 8.157 1.987
Tl 0.000 10.880 0.000
Tl 0.000 13.573 1.987
Tl 2.734 0.000 1.987
Tl 2.734 2.723 0.000
Tl 2.734 5.416 1.987
Tl 2.734 10.898 1.987
Tl 2.734 13.592 0.000

(12)
! Li2InBr, optimized geometry, DFT GGA-PBE; values from VASP
! Calculated volume (Å³ per atom): 27.3
! Space group: F-43m, No. 216
! Total energy (eV for the cell shown): -35.18
! Formation energy (no corrections) (eV per atom): -0.14
&SYSTEM
  ibrav = 0, nat = 16, ntyp = 3
/
ATOMIC_SPECIES
Li 6.94 Li.upf
In 114.82 In.upf
Br 79.90 Br.upf
CELL_PARAMETERS angstrom
7.592 0.000 0.000
0.000 7.592 0.000
0.000 0.000 7.592
ATOMIC_POSITIONS angstrom
Li 0.000 0.000 0.000
Li 0.000 3.796 3.796
Li 1.898 1.898 1.898
Li 1.898 5.694 5.694
Li 3.796 0.000 3.796
Li 3.796 3.796 0.000
Li 5.694 1.898 5.694
Li 5.694 5.694 1.898
In 1.898 1.898 5.694
In 1.898 5.694 1.898
In 5.694 1.898 1.898
In 5.694 5.694 5.694
Br 0.000 0.000 3.796
Br 0.000 3.796 0.000
Br 3.796 0.000 0.000
Br 3.796 3.796 3.796

Please write out number 7 again, unchanged.
! AcPm4Y6, optimized geometry, DFT GGA-PBE; values from VASP
! Calculated volume (Å³ per atom): 34.4
! Formation energy (eV per formula unit): 1.30
! Space group: Cmcm, No. 63
! Total energy (eV for the cell shown): -121.18
&SYSTEM
  ibrav = 0, nat = 22, ntyp = 3
/
ATOMIC_SPECIES
Ac 227.00 Ac.upf
Pm 145.00 Pm.upf
Y 88.91 Y.upf
CELL_PARAMETERS angstrom
2.944 -4.915 0.000
2.944 4.915 0.000
0.000 0.000 26.129
ATOMIC_POSITIONS angstrom
Ac 2.944 3.041 19.597
Ac 2.944 -3.041 6.532
Pm 2.944 3.370 1.124
Pm 2.944 3.370 11.940
Pm 2.944 0.312 3.209
Pm 2.944 0.312 9.856
Pm 2.944 -0.312 16.273
Pm 2.944 -0.312 22.920
Pm 2.944 -3.370 14.189
Pm 2.944 -3.370 25.005
Y 2.944 3.538 4.714
Y 2.944 3.538 8.351
Y 2.944 3.055 15.654
Y 2.944 3.055 23.539
Y 2.944 0.270 6.532
Y 2.944 0.000 0.000
Y 2.944 0.000 13.065
Y 2.944 -0.270 19.597
Y 2.944 -3.055 2.590
Y 2.944 -3.055 10.475
Y 2.944 -3.538 17.778
Y 2.944 -3.538 21.415

Question: What is the total energy in the eleventh record?
Answer: -34.51 eV for the cell shown